Entry 1:
CoCuTcAu: optimized geometry, GGA-PBE.

**Distance to the lowest polymorph of the same formula**: 0 meV/atom
**M_tot**: 0.03 μB/cell
**ΔH_f (0 K)**: 0.344 eV/atom

abc: 6.007 6.007 6.007
angles: 90.00 90.00 90.00
Space group F-43m (No. 216)
One atom of each set of equivalent atoms:
1 Co 0.000 0.000 0.000 (multiplicity 4)
2 Cu 0.000 0.000 0.500 (multiplicity 4)
3 Tc 0.250 0.250 0.250 (multiplicity 4)
4 Au 0.250 0.250 0.750 (multiplicity 4)

=====

Entry 2:
RbTmPu: optimized geometry, GGA-PBE.

**Distance to the lowest polymorph of the same formula**: 0 meV/atom
**M_tot**: 34.15 μB/cell

abc: 8.166 8.166 8.166
angles: 90.00 90.00 90.00
Space group F-43m (No. 216)
One atom of each set of equivalent atoms:
1 Rb 0.000 0.000 0.000 (multiplicity 4)
2 Tm 0.250 0.250 0.750 (multiplicity 4)
3 Pu 0.000 0.000 0.500 (multiplicity 4)

=====

Entry 3:
MgGaTcNi: optimized geometry, GGA-PBE.

**Distance to the lowest polymorph of the same formula**: 0 meV/atom
**M_tot**: 1.41 μB/cell

abc: 6.069 6.069 6.069
angles: 90.00 90.00 90.00
Space group F-43m (No. 216)
One atom of each set of equivalent atoms:
1 Mg 0.000 0.000 0.000 (multiplicity 4)
2 Ga 0.000 0.000 0.500 (multiplicity 4)
3 Tc 0.250 0.250 0.250 (multiplicity 4)
4 Ni 0.250 0.250 0.750 (multiplicity 4)

=====

Entry 4:
TmCdSi: optimized geometry, GGA-PBE.

**Total energy**: -3.857 eV/atom
**M_tot**: 0.00 μB/cell

abc: 6.498 6.498 6.498
angles: 90.00 90.00 90.00
Space group F-43m (No. 216)
One atom of each set of equivalent atoms:
1 Tm 0.000 0.000 0.000 (multiplicity 4)
2 Cd 0.000 0.000 0.500 (multiplicity 4)
3 Si 0.250 0.250 0.750 (multiplicity 4)

=====

Entry 5:
PmSc: optimized geometry, GGA-PBE.

**Distance to the lowest polymorph of the same formula**: 0 meV/atom
**M_tot**: 0.14 μB/cell
**ΔH_f (0 K)**: 0.088 eV/atom

abc: 3.4836 3.4836 5.4994
angles: 90.00 90.00 120.00
Space group P-6m2 (No. 187)
One atom of each set of equivalent atoms:
1 Pm 0.0000 0.0000 0.0000 (multiplicity 1)
2 Sc 0.6667 0.3333 0.5000 (multiplicity 1)

=====

Entry 6:
HfMg2Tc: optimized geometry, GGA-PBE.

**Total energy**: -5.752 eV/atom
**M_tot**: 0.01 μB/cell

abc: 6.637 6.637 6.637
angles: 90.00 90.00 90.00
Space group F-43m (No. 216)
One atom of each set of equivalent atoms:
1 Hf 0.000 0.000 0.000 (multiplicity 4)
2 Mg 0.000 0.000 0.500 (multiplicity 4)
3 Mg 0.250 0.250 0.250 (multiplicity 4)
4 Tc 0.250 0.250 0.750 (multiplicity 4)

=====

Entry 7:
Gd2DyGa3AgPd2: optimized geometry, GGA-PBE.

**Total energy**: -4.762 eV/atom
**M_tot**: 0.01 μB/cell

abc: 3.766 13.042 7.549
angles: 90.00 90.00 90.00
Space group Amm2 (No. 38)
One atom of each set of equivalent atoms:
1 Gd 0.000 0.204 0.000 (multiplicity 4)
2 Dy 0.000 0.000 0.387 (multiplicity 2)
3 Ga 0.500 0.000 0.065 (multiplicity 2)
4 Ga 0.500 0.134 0.661 (multiplicity 4)
5 Ag 0.000 0.000 0.794 (multiplicity 2)
6 Pd 0.500 0.165 0.296 (multiplicity 4)

=====

Entry 8:
LuCdHgAu: optimized geometry, GGA-PBE.

**Distance to the lowest polymorph of the same formula**: 115 meV/atom
**M_tot**: 0.01 μB/cell
**ΔH_f (0 K)**: -0.373 eV/atom

abc: 6.989 6.989 6.989
angles: 90.00 90.00 90.00
Space group F-43m (No. 216)
One atom of each set of equivalent atoms:
1 Lu 0.000 0.000 0.000 (multiplicity 4)
2 Cd 0.250 0.250 0.250 (multiplicity 4)
3 Hg 0.000 0.000 0.500 (multiplicity 4)
4 Au 0.250 0.250 0.750 (multiplicity 4)

=====

Entry 9:
Sr2Zn2SiSn: optimized geometry, GGA-PBE.

**Total energy**: -3.009 eV/atom

abc: 4.4868 4.4868 9.0406
angles: 90.00 90.00 120.00
Space group P-6m2 (No. 187)
One atom of each set of equivalent atoms:
1 Sr 0.0000 0.0000 0.2402 (multiplicity 2)
2 Zn 0.3333 0.6667 0.5000 (multiplicity 1)
3 Zn 0.6667 0.3333 0.0000 (multiplicity 1)
4 Si 0.3333 0.6667 0.0000 (multiplicity 1)
5 Sn 0.6667 0.3333 0.5000 (multiplicity 1)

=====

Entry 10:
BeNbSi: optimized geometry, GGA-PBE.

**Total energy**: -6.327 eV/atom
**M_tot**: 0.78 μB/cell

abc: 5.494 5.494 5.494
angles: 90.00 90.00 90.00
Space group F-43m (No. 216)
One atom of each set of equivalent atoms:
1 Be 0.000 0.000 0.000 (multiplicity 4)
2 Nb 0.250 0.250 0.750 (multiplicity 4)
3 Si 0.250 0.250 0.250 (multiplicity 4)

=====

Entry 11:
Lu3AsP2: optimized geometry, GGA-PBE.

**Total energy**: -6.385 eV/atom
**M_tot**: 0.01 μB/cell

abc: 3.9499 3.9499 9.6887
angles: 90.00 90.00 120.00
Space group P-3m1 (No. 164)
One atom of each set of equivalent atoms:
1 Lu 0.0000 0.0000 0.0000 (multiplicity 1)
2 Lu 0.3333 0.6667 0.6733 (multiplicity 2)
3 As 0.0000 0.0000 0.5000 (multiplicity 1)
4 P 0.3333 0.6667 0.1640 (multiplicity 2)

=====

Entry 12:
AgPPdO: optimized geometry, GGA-PBE.

**Distance to the lowest polymorph of the same formula**: 22 meV/atom

abc: 3.912 6.036 5.747
angles: 90.00 90.00 90.00
Space group Pmc2_1 (No. 26)
One atom of each set of equivalent atoms:
1 Ag 0.000 0.164 0.000 (multiplicity 2)
2 P 0.500 0.351 0.849 (multiplicity 2)
3 Pd 0.500 0.281 0.452 (multiplicity 2)
4 O 0.000 0.205 0.409 (multiplicity 2)

=====

Q: What is the formula in the twelfth record?
A: AgPPdO